Version i
MgTlCl2 | meta-GGA SCAN | single point on PBEsol structure

```
data_MgTlCl2
_chemical_formula_sum 'Mg2 Tl2 Cl4'
_space_group_name_H-M_alt 'I -4 m 2'
_space_group_IT_number 119
_space_group_name_Hall 'I -4 -2'
_cell_length_a 4.1682
_cell_length_b 4.1682
_cell_length_c 11.7629
_cell_angle_alpha 90.00
_cell_angle_beta 90.00
_cell_angle_gamma 90.00
loop_
_atom_site_label
_atom_site_fract_x
_atom_site_fract_y
_atom_site_fract_z
_atom_site_occupancy
Mg1 0.0000 0.0000 0.0000 1
Tl1 0.0000 0.5000 0.2500 1
Cl1 0.0000 0.0000 0.5000 1
Cl2 0.0000 0.5000 0.7500 1
```

Properties
ρ, g/cm3: 4.87

=====

Version ii
MgTlCl2 | meta-GGA SCAN | single point on PBEsol structure

```
data_MgTlCl2
_chemical_formula_sum 'Mg2 Tl2 Cl4'
_space_group_name_H-M_alt 'C 1 2/m 1'
_space_group_IT_number 12
_cell_length_a 6.0936
_cell_length_b 3.5217
_cell_length_c 10.4538
_cell_angle_alpha 90.00
_cell_angle_beta 100.62
_cell_angle_gamma 90.00
loop_
_space_group_symop_operation_xyz
'x,y,z'
'-x,-y,-z'
'-x,y,-z'
'x,-y,z'
'x+1/2,y+1/2,z'
'-x+1/2,-y+1/2,-z'
'-x+1/2,y+1/2,-z'
'x+1/2,-y+1/2,z'
loop_
_atom_site_label
_atom_site_fract_x
_atom_site_fract_y
_atom_site_fract_z
_atom_site_occupancy
Mg1 0.0000 0.0000 0.0000 1
Tl1 0.0000 0.5000 0.5000 1
Cl1 0.1230 0.5000 0.8623 1
```

Properties
ρ, g/cm3: 4.51

=====

We find version ii to be the most stable, with the next structure 0.661 eV/atom higher.

=====

Version i
Mg2WCl | meta-GGA SCAN | single point on PBEsol structure

```
data_Mg2WCl
_chemical_formula_sum 'Mg4 W2 Cl2'
_space_group_name_H-M_alt 'C m m m'
_space_group_IT_number 65
_space_group_name_Hall '-C 2 2'
_cell_length_a 5.9721
_cell_length_b 8.3657
_cell_length_c 2.8438
_cell_angle_alpha 90.00
_cell_angle_beta 90.00
_cell_angle_gamma 90.00
loop_
_atom_site_label
_atom_site_fract_x
_atom_site_fract_y
_atom_site_fract_z
_atom_site_occupancy
Mg1 0.2500 0.2500 0.0000 1
W1 0.0000 0.0000 0.5000 1
Cl1 0.0000 0.5000 0.5000 1
```

Properties
ρ, g/cm3: 6.26

=====

Version ii
Mg2WCl | meta-GGA SCAN | single point on PBEsol structure

```
data_Mg2WCl
_chemical_formula_sum 'Mg2 W1 Cl1'
_space_group_name_H-M_alt 'P m m 2'
_space_group_IT_number 25
_cell_length_a 2.9128
_cell_length_b 4.7599
_cell_length_c 5.1352
_cell_angle_alpha 90.00
_cell_angle_beta 90.00
_cell_angle_gamma 90.00
loop_
_space_group_symop_operation_xyz
'x,y,z'
'-x,-y,z'
'-x,y,z'
'x,-y,z'
loop_
_atom_site_label
_atom_site_fract_x
_atom_site_fract_y
_atom_site_fract_z
_atom_site_occupancy
Mg1 0.0000 0.0000 0.0000 1
Mg2 0.0000 0.5000 0.3431 1
W1 0.5000 0.5000 0.8421 1
Cl1 0.5000 0.0000 0.5641 1
```

Properties
ρ, g/cm3: 6.25

=====

We find version i to be the most stable, with the next structure 0.036 eV/atom higher.

=====

Version i
Mg2ZnCl | meta-GGA SCAN | single point on PBEsol structure

```
data_Mg2ZnCl
_chemical_formula_sum 'Mg4 Zn2 Cl2'
_space_group_name_H-M_alt 'C 1 m 1'
_space_group_IT_number 8
_cell_length_a 11.0574
_cell_length_b 3.1427
_cell_length_c 4.7005
_cell_angle_alpha 90.00
_cell_angle_beta 92.02
_cell_angle_gamma 90.00
loop_
_space_group_symop_operation_xyz
'x,y,z'
'x,-y,z'
'x+1/2,y+1/2,z'
'x+1/2,-y+1/2,z'
loop_
_atom_site_label
_atom_site_fract_x
_atom_site_fract_y
_atom_site_fract_z
_atom_site_occupancy
Mg1 0.0000 0.0000 0.0000 1
Mg2 0.2363 0.5000 0.5185 1
Zn1 0.4682 0.0000 0.4930 1
Cl1 0.2271 0.0000 0.9645 1
```

Properties
ρ, g/cm3: 3.04

=====

Version ii
Mg2ZnCl | meta-GGA SCAN | single point on PBEsol structure

```
data_Mg2ZnCl
_chemical_formula_sum 'Mg4 Zn2 Cl2'
_space_group_name_H-M_alt 'C 1 2/m 1'
_space_group_IT_number 12
_cell_length_a 6.3662
_cell_length_b 7.7986
_cell_length_c 3.2321
_cell_angle_alpha 90.00
_cell_angle_beta 101.15
_cell_angle_gamma 90.00
loop_
_space_group_symop_operation_xyz
'x,y,z'
'-x,-y,-z'
'-x,y,-z'
'x,-y,z'
'x+1/2,y+1/2,z'
'-x+1/2,-y+1/2,-z'
'-x+1/2,y+1/2,-z'
'x+1/2,-y+1/2,z'
loop_
_atom_site_label
_atom_site_fract_x
_atom_site_fract_y
_atom_site_fract_z
_atom_site_occupancy
Mg1 0.2500 0.2500 0.0000 1
Zn1 0.0000 0.0000 0.5000 1
Cl1 0.0000 0.5000 0.5000 1
```

Properties
ρ, g/cm3: 3.15

=====

We find version i to be the most stable, with the next structure 0.085 eV/atom higher.

=====

Version i
MgZrCl2 | meta-GGA SCAN | single point on PBEsol structure

```
data_MgZrCl2
_chemical_formula_sum 'Mg3 Zr3 Cl6'
_space_group_name_H-M_alt 'R -3 m'
_space_group_IT_number 166
_space_group_name_Hall '-R 3 2"'
_cell_length_a 3.3416
_cell_length_b 3.3416
_cell_length_c 25.1281
_cell_angle_alpha 90.00
_cell_angle_beta 90.00
_cell_angle_gamma 120.00
loop_
_atom_site_label
_atom_site_fract_x
_atom_site_fract_y
_atom_site_fract_z
_atom_site_occupancy
Mg1 0.0000 0.0000 0.0000 1
Zr1 0.0000 0.0000 0.5000 1
Cl1 0.0000 0.0000 0.3929 1
```

Properties
ρ, g/cm3: 3.82

=====

Version ii
MgZrCl2 | meta-GGA SCAN | single point on PBEsol structure

```
data_MgZrCl2
_chemical_formula_sum 'Mg1 Zr1 Cl2'
_space_group_name_H-M_alt 'P 1 2/m 1'
_space_group_IT_number 10
_cell_length_a 3.2538
_cell_length_b 4.4072
_cell_length_c 5.6703
_cell_angle_alpha 90.00
_cell_angle_beta 92.98
_cell_angle_gamma 90.00
loop_
_space_group_symop_operation_xyz
'x,y,z'
'-x,-y,-z'
'-x,y,-z'
'x,-y,z'
loop_
_atom_site_label
_atom_site_fract_x
_atom_site_fract_y
_atom_site_fract_z
_atom_site_occupancy
Mg1 0.0000 0.0000 0.0000 1
Zr1 0.5000 0.0000 0.5000 1
Cl1 0.3130 0.5000 0.2608 1
```

Properties
ρ, g/cm3: 3.81

=====

Version iii
MgZrCl2 | meta-GGA SCAN | single point on PBEsol structure

```
data_MgZrCl2
_chemical_formula_sum 'Mg1 Zr1 Cl2'
_space_group_name_H-M_alt 'P m m m'
_space_group_IT_number 47
_cell_length_a 3.1254
_cell_length_b 4.3031
_cell_length_c 5.8852
_cell_angle_alpha 90.00
_cell_angle_beta 90.00
_cell_angle_gamma 90.00
loop_
_space_group_symop_operation_xyz
'x,y,z'
'-x,-y,-z'
'-x,-y,z'
'x,y,-z'
'x,-y,-z'
'-x,y,z'
'-x,y,-z'
'x,-y,z'
loop_
_atom_site_label
_atom_site_fract_x
_atom_site_fract_y
_atom_site_fract_z
_atom_site_occupancy
Mg1 0.0000 0.0000 0.0000 1
Zr1 0.5000 0.0000 0.5000 1
Cl1 0.0000 0.5000 0.5000 1
Cl2 0.5000 0.5000 0.0000 1
```

Properties
ρ, g/cm3: 3.91

=====

We find version i to be the most stable, with the next structure 0.088 eV/atom higher.

=====

Version i
Mg2ZrCl | meta-GGA SCAN | single point on PBEsol structure

```
data_Mg2ZrCl
_chemical_formula_sum 'Mg4 Zr2 Cl2'
_space_group_name_H-M_alt 'C m m m'
_space_group_IT_number 65
_space_group_name_Hall '-C 2 2'
_cell_length_a 5.6355
_cell_length_b 9.5082
_cell_length_c 3.1205
_cell_angle_alpha 90.00
_cell_angle_beta 90.00
_cell_angle_gamma 90.00
loop_
_atom_site_label
_atom_site_fract_x
_atom_site_fract_y
_atom_site_fract_z
_atom_site_occupancy
Mg1 0.2500 0.2500 0.0000 1
Zr1 0.0000 0.0000 0.5000 1
Cl1 0.0000 0.5000 0.5000 1
```

Properties
ρ, g/cm3: 3.48

=====

Version ii
Mg2ZrCl | meta-GGA SCAN | single point on PBEsol structure

```
data_Mg2ZrCl
_chemical_formula_sum 'Mg8 Zr4 Cl4'
_space_group_name_H-M_alt 'F -4 3 m'
_space_group_IT_number 216
_space_group_name_Hall 'F -4 2 3'
_cell_length_a 6.9304
_cell_length_b 6.9304
_cell_length_c 6.9304
_cell_angle_alpha 90.00
_cell_angle_beta 90.00
_cell_angle_gamma 90.00
loop_
_atom_site_label
_atom_site_fract_x
_atom_site_fract_y
_atom_site_fract_z
_atom_site_occupancy
Mg1 0.0000 0.0000 0.0000 1
Mg2 0.2500 0.2500 0.2500 1
Zr1 0.0000 0.0000 0.5000 1
Cl1 0.2500 0.2500 0.7500 1
```

Properties
ρ, g/cm3: 3.50

=====

We find version i to be the most stable, with the next structure 0.384 eV/atom higher.

=====

Version i
MnPCl2 | meta-GGA SCAN | single point on PBEsol structure

```
data_MnPCl2
_chemical_formula_sum 'Mn2 P2 Cl4'
_space_group_name_H-M_alt 'C m m m'
_space_group_IT_number 65
_space_group_name_Hall '-C 2 2'
_cell_length_a 3.8129
_cell_length_b 4.7100
_cell_length_c 9.0666
_cell_angle_alpha 90.00
_cell_angle_beta 90.00
_cell_angle_gamma 90.00
loop_
_atom_site_label
_atom_site_fract_x
_atom_site_fract_y
_atom_site_fract_z
_atom_site_occupancy
Mn1 0.0000 0.0000 0.0000 1
P1 0.0000 0.0000 0.5000 1
Cl1 0.0000 0.5000 0.1719 1
```

Properties
ρ, g/cm3: 3.20

=====

Version ii
MnPCl2 | meta-GGA SCAN | single point on PBEsol structure

```
data_MnPCl2
_chemical_formula_sum 'Mn4 P4 Cl8'
_space_group_name_H-M_alt 'F m -3 m'
_space_group_IT_number 225
_space_group_name_Hall '-F 4 2 3'
_cell_length_a 6.4326
_cell_length_b 6.4326
_cell_length_c 6.4326
_cell_angle_alpha 90.00
_cell_angle_beta 90.00
_cell_angle_gamma 90.00
loop_
_atom_site_label
_atom_site_fract_x
_atom_site_fract_y
_atom_site_fract_z
_atom_site_occupancy
Mn1 0.0000 0.0000 0.0000 1
P1 0.0000 0.0000 0.5000 1
Cl1 0.2500 0.2500 0.2500 1
```

Properties
ρ, g/cm3: 3.91

=====

We find version i to be the most stable, with the next structure 0.491 eV/atom higher.

=====

Version i
Mn2PCl | meta-GGA SCAN | single point on PBEsol structure

```
data_Mn2PCl
_chemical_formula_sum 'Mn4 P2 Cl2'
_space_group_name_H-M_alt 'I m m m'
_space_group_IT_number 71
_space_group_name_Hall '-I 2 2'
_cell_length_a 3.1816
_cell_length_b 5.8182
_cell_length_c 7.0092
_cell_angle_alpha 90.00
_cell_angle_beta 90.00
_cell_angle_gamma 90.00
loop_
_atom_site_label
_atom_site_fract_x
_atom_site_fract_y
_atom_site_fract_z
_atom_site_occupancy
Mn1 0.0000 0.0000 0.2279 1
P1 0.0000 0.5000 0.5000 1
Cl1 0.0000 0.5000 0.0000 1
```

Properties
ρ, g/cm3: 4.51

=====

Version ii
Mn2PCl | meta-GGA SCAN | single point on PBEsol structure

```
data_Mn2PCl
_chemical_formula_sum 'Mn2 P1 Cl1'
_space_group_name_H-M_alt 'P m m m'
_space_group_IT_number 47
_cell_length_a 2.9444
_cell_length_b 4.3744
_cell_length_c 4.4230
_cell_angle_alpha 90.00
_cell_angle_beta 90.00
_cell_angle_gamma 90.00
loop_
_space_group_symop_operation_xyz
'x,y,z'
'-x,-y,-z'
'-x,-y,z'
'x,y,-z'
'x,-y,-z'
'-x,y,z'
'-x,y,-z'
'x,-y,z'
loop_
_atom_site_label
_atom_site_fract_x
_atom_site_fract_y
_atom_site_fract_z
_atom_site_occupancy
Mn1 0.0000 0.0000 0.0000 1
Mn2 0.0000 0.5000 0.5000 1
P1 0.5000 0.0000 0.5000 1
Cl1 0.5000 0.5000 0.0000 1
```

Properties
ρ, g/cm3: 5.14

=====

We find version i to be the most stable, with the next structure 0.034 eV/atom higher.

=====

Version i
MnPb2Cl | meta-GGA SCAN | single point on PBEsol structure

```
data_MnPb2Cl
_chemical_formula_sum 'Mn2 Pb4 Cl2'
_space_group_name_H-M_alt 'C 1 m 1'
_space_group_IT_number 8
_cell_length_a 11.0408
_cell_length_b 3.2874
_cell_length_c 5.8587
_cell_angle_alpha 90.00
_cell_angle_beta 117.15
_cell_angle_gamma 90.00
loop_
_space_group_symop_operation_xyz
'x,y,z'
'x,-y,z'
'x+1/2,y+1/2,z'
'x+1/2,-y+1/2,z'
loop_
_atom_site_label
_atom_site_fract_x
_atom_site_fract_y
_atom_site_fract_z
_atom_site_occupancy
Mn1 0.0000 0.0000 0.0000 1
Pb1 0.2591 0.0000 0.9588 1
Pb2 0.4209 0.0000 0.5690 1
Cl1 0.1169 0.5000 0.3252 1
```

Properties
ρ, g/cm3: 8.86

=====

Version ii
MnPb2Cl | meta-GGA SCAN | single point on PBEsol structure

```
data_MnPb2Cl
_chemical_formula_sum 'Mn4 Pb8 Cl4'
_space_group_name_H-M_alt 'F -4 3 m'
_space_group_IT_number 216
_space_group_name_Hall 'F -4 2 3'
_cell_length_a 7.2788
_cell_length_b 7.2788
_cell_length_c 7.2788
_cell_angle_alpha 90.00
_cell_angle_beta 90.00
_cell_angle_gamma 90.00
loop_
_atom_site_label
_atom_site_fract_x
_atom_site_fract_y
_atom_site_fract_z
_atom_site_occupancy
Mn1 0.0000 0.0000 0.0000 1
Pb1 0.0000 0.0000 0.5000 1
Pb2 0.2500 0.2500 0.2500 1
Cl1 0.2500 0.2500 0.7500 1
```

Properties
ρ, g/cm3: 8.69

=====

Version iii
MnPb2Cl | meta-GGA SCAN | single point on PBEsol structure

```
data_MnPb2Cl
_chemical_formula_sum 'Mn2 Pb4 Cl2'
_space_group_name_H-M_alt 'I m m m'
_space_group_IT_number 71
_space_group_name_Hall '-I 2 2'
_cell_length_a 3.2077
_cell_length_b 4.2489
_cell_length_c 14.5457
_cell_angle_alpha 90.00
_cell_angle_beta 90.00
_cell_angle_gamma 90.00
loop_
_atom_site_label
_atom_site_fract_x
_atom_site_fract_y
_atom_site_fract_z
_atom_site_occupancy
Mn1 0.0000 0.0000 0.0000 1
Pb1 0.0000 0.5000 0.3156 1
Cl1 0.0000 0.0000 0.5000 1
```

Properties
ρ, g/cm3: 8.46

=====

We find version i to be the most stable, with the next structure 0.069 eV/atom higher.